LuCuW2O8, optimized geometry, DFT PBEsol; ΔE_f (raw) = -2.27 eV/atom; symmetry = P2/c, No. 13; VASP energy = -8.840 eV per atom
1.0
4.967 0.000 0.000
0.000 5.806 0.000
-0.390 0.000 9.724
Lu Cu W O
2 2 4 16
direct
0.750 0.675 0.750
0.250 0.325 0.250
0.250 0.303 0.750
0.750 0.697 0.250
0.252 0.825 0.488
0.748 0.175 0.512
0.248 0.825 0.012
0.752 0.175 0.988
0.093 0.631 0.363
0.407 0.631 0.137
0.907 0.369 0.637
0.593 0.369 0.863
0.051 0.093 0.887
0.449 0.093 0.613
0.949 0.907 0.113
0.551 0.907 0.387
0.604 0.370 0.384
0.896 0.370 0.116
0.396 0.630 0.616
0.104 0.630 0.884
0.065 0.113 0.402
0.935 0.887 0.598
0.435 0.113 0.098
0.565 0.887 0.902